Entry 1:
This record from Alexandria describes a geometry-optimized Ca2FePt structure. The functional is PBE.

Calculated values
spin magnetization	0.63	μB/atom
space-group type	I-4m2
energy relative to the elements	0.044	eV per formula unit
final energy	-4.616	eV/atom

abc: 5.670 5.670 5.670
angles: 136.42 136.42 63.33
Element x y z (fractional)
Ca 0.000 0.000 0.000
Ca 0.750 0.250 0.500
Fe 0.250 0.750 0.500
Pt 0.500 0.500 0.000

***

Entry 2:
This record from Alexandria describes a geometry-optimized VAgH3 structure. The functional is PBE.

Calculated values
spin magnetization	0.41	μB/atom
space-group type	Pm-3m
excess energy over the best structure of this formula in the dataset	0	kJ/mol of formula units
final energy	-4.158	eV/atom

abc: 3.532 3.532 3.532
angles: 90.00 90.00 90.00
Element x y z (fractional)
V 0.000 0.000 0.000
Ag 0.500 0.500 0.500
H 0.000 0.000 0.500
H 0.000 0.500 0.000
H 0.500 0.000 0.000

***

Entry 3:
This record from Alexandria describes a geometry-optimized Cu3SbAu structure. The functional is PBE.

Calculated values
spin magnetization	0.00	μB/atom
space-group type	Pm-3m
excess energy over the best structure of this formula in the dataset	0	kJ/mol of formula units
final energy	-3.252	eV/atom

abc: 4.748 4.748 4.748
angles: 90.00 90.00 90.00
Element x y z (fractional)
Cu 0.000 0.000 0.500
Cu 0.000 0.500 0.000
Cu 0.500 0.000 0.000
Sb 0.500 0.500 0.500
Au 0.000 0.000 0.000

***

Entry 4:
This record from Alexandria describes a geometry-optimized ScCd2SnBi structure. The functional is PBE.

Calculated values
spin magnetization	0.00	μB/atom
space-group type	P4/mmm
energy relative to the elements	2.729	eV per formula unit
final energy	-2.663	eV/atom

abc: 5.301 5.301 6.147
angles: 90.00 90.00 90.00
Element x y z (fractional)
Sc 0.000 0.000 0.000
Cd 0.000 0.500 0.500
Cd 0.500 0.000 0.500
Sn 0.500 0.500 0.500
Bi 0.500 0.500 0.000